Material: LiPmPd3
Method: DFT, GGA-PBE
State: optimized geometry

Properties
Calculated volume = 87 Å³/f.u.
Symmetry = Pm-3m, No. 221
E_form = -0.486 eV per atom
Excess energy over the best structure of this formula in the dataset = 100 meV/atom

```
5
Lattice="-2.813 -0.273 -3.423 -3.360 -0.697 2.816 -0.711 4.375 0.235" Properties=species:S:1:pos:R:3 pbc="T T T"
Pd -1.680 -0.348 1.408
Li 0.000 0.000 0.000
Pd -1.406 -0.137 -1.712
Pm -3.442 1.703 -0.186
Pd -0.355 2.188 0.117
```


Material: Pm4Pr2Y5
Method: DFT, GGA-PBE
State: optimized geometry

Properties
Calculated volume = 374 Å³/f.u.
Symmetry = C2/m, No. 12
E_form = 0.096 eV per atom
Excess energy over the best structure of this formula in the dataset = 0 meV/atom

```
11
Lattice="-2.303 1.823 5.089 0.371 -6.003 2.319 10.265 0.257 1.161" Properties=species:S:1:pos:R:3 pbc="T T T"
Pm 7.426 0.384 6.615
Pm 5.594 0.281 2.431
Y 5.899 -3.368 7.269
Pm 2.739 -4.203 6.138
Pm 0.908 -4.306 1.954
Y 2.435 -0.554 1.300
Y -1.151 0.912 2.544
Pr 7.509 -2.304 4.224
Y 4.127 -3.150 2.997
Y 4.206 -0.772 5.572
Pr 0.825 -1.619 4.346
```


Material: Dy3HoTm8
Method: DFT, GGA-PBE
State: optimized geometry

Properties
Calculated volume = 436 Å³/f.u.
Symmetry = I4/mmm, No. 139
E_form = 0.735 eV per atom

```
12
Lattice="6.595 0.000 -3.731 -2.110 6.248 -3.731 0.840 1.170 9.179" Properties=species:S:1:pos:R:3 pbc="T T T"
Tm 3.434 4.785 2.220
Dy 4.839 2.147 0.859
Tm 0.834 5.761 -2.370
Tm 1.190 1.658 5.955
Dy 0.486 5.271 0.859
Tm 1.890 2.633 -0.503
Tm 5.191 2.633 -2.370
Tm 0.133 4.785 4.087
Tm 4.491 1.658 4.087
Tm 4.135 5.761 -4.237
Dy 2.242 3.124 -3.731
Ho 0.000 0.000 0.000
```


Material: Zr2BiW
Method: DFT, GGA-PBE
State: optimized geometry

Properties
Calculated volume = 94 Å³/f.u.
Symmetry = I-42d, No. 122
E_form = 0.801 eV per atom

```
8
Lattice="4.300 0.000 0.000 0.000 4.300 0.000 2.150 2.150 10.130" Properties=species:S:1:pos:R:3 pbc="T T T"
Zr 3.204 1.075 2.533
Bi 4.300 2.150 5.065
W 2.150 4.300 5.065
Zr 3.225 3.246 7.598
Bi 0.000 0.000 0.000
W 2.150 2.150 0.000
Zr 1.096 3.225 2.533
Zr 5.374 5.354 7.598
```


Material: BaLaEuMg
Method: DFT, GGA-PBE
State: optimized geometry

Properties
Calculated volume = 157 Å³/f.u.
Symmetry = F-43m, No. 216
E_form = 0.101 eV per atom

```
4
Lattice="-3.624 4.619 1.509 -3.719 -0.496 4.761 1.089 3.184 5.041" Properties=species:S:1:pos:R:3 pbc="T T T"
La -4.690 5.480 8.484
Mg 0.000 0.000 0.000
Ba -1.563 1.827 2.828
Eu -3.127 3.653 5.656
```


Material: LiHgRu
Method: DFT, GGA-PBE
State: optimized geometry

Properties
Calculated volume = 50 Å³/f.u.
Symmetry = Fmm2, No. 42
E_form = 0.352 eV per atom
Excess energy over the best structure of this formula in the dataset = 33 meV/atom

```
3
Lattice="7.479 0.003 -0.002 6.730 2.697 0.007 0.749 -1.052 2.480" Properties=species:S:1:pos:R:3 pbc="T T T"
Hg 14.191 2.694 0.009
Li 5.139 0.171 1.673
Ru 9.839 1.481 0.809
```


Material: Re3PW
Method: DFT, GGA-PBE
State: optimized geometry

Properties
Calculated volume = 81 Å³/f.u.
Symmetry = Pm-3m, No. 221
E_form = 0.924 eV per atom
Excess energy over the best structure of this formula in the dataset = 0 meV/atom

```
5
Lattice="-3.225 0.843 2.768 -0.583 -4.249 0.614 2.834 0.084 3.276" Properties=species:S:1:pos:R:3 pbc="T T T"
Re -0.292 -2.125 0.307
Re -1.612 0.422 1.384
P 0.000 0.000 0.000
Re 1.417 0.042 1.638
W -0.487 -1.661 3.329
```


Material: SbAs2W
Method: DFT, GGA-PBE
State: optimized geometry

Properties
Energy relative to the elements, uncorrected = 487.4 meV per atom
Calculated volume = 83 Å³/f.u.
Symmetry = P2/m, No. 10

```
4
Lattice="4.745 0.000 0.000 0.000 3.740 -0.008 0.000 0.975 4.676" Properties=species:S:1:pos:R:3 pbc="T T T"
W 2.373 3.536 3.501
Sb 2.373 1.179 1.167
As 0.000 4.472 4.334
As 0.000 2.601 2.668
```


Material: Ca2SmYS4
Method: DFT, GGA-PBE
State: optimized geometry

Properties
Energy relative to the elements, uncorrected = -2058.7 meV per atom
Calculated volume = 180 Å³/f.u.
Symmetry = P2/m, No. 10

```
8
Lattice="-0.057 -3.885 -0.810 6.766 -0.338 1.151 -3.406 -1.197 5.983" Properties=species:S:1:pos:R:3 pbc="T T T"
S 4.251 -0.555 2.367
Ca -1.731 -2.541 2.587
Ca 1.680 -0.768 3.567
Sm 3.355 -2.112 0.171
S 2.514 -3.099 4.967
S -0.891 -0.981 4.767
Y 0.000 0.000 0.000
S 0.790 -2.322 1.358
```


Material: Tb4TlGa3
Method: DFT, GGA-PBE
State: optimized geometry

Properties
Calculated volume = 205 Å³/f.u.
Symmetry = Pmm2, No. 25
E_form = -0.530 eV per atom

```
8
Lattice="4.437 0.000 0.000 0.000 4.151 0.000 0.000 0.000 11.112" Properties=species:S:1:pos:R:3 pbc="T T T"
Tb 0.000 0.000 1.610
Ga 2.219 0.000 10.114
Ga 0.000 2.076 6.398
Tb 0.000 2.076 9.497
Ga 0.000 0.000 4.729
Tb 2.219 2.076 4.115
Tb 2.219 0.000 7.076
Tl 2.219 2.076 0.911
```


Material: Ce2PmY
Method: DFT, GGA-PBE
State: optimized geometry

Properties
Calculated volume = 125 Å³/f.u.
Symmetry = R3m, No. 160
E_form = 0.110 eV per atom
Excess energy over the best structure of this formula in the dataset = 6 meV/atom

```
4
Lattice="-0.054 2.325 -2.642 -1.554 -0.833 -3.046 -10.627 4.780 2.080" Properties=species:S:1:pos:R:3 pbc="T T T"
Ce -8.117 3.715 1.092
Y -11.664 5.759 -1.725
Ce -3.042 1.561 -0.908
Pm -6.156 3.152 -1.788
```


Material: YTh2Cu6
Method: DFT, GGA-PBE
State: optimized geometry

Properties
Calculated volume = 173 Å³/f.u.
Symmetry = P6/mmm, No. 191
E_form = -0.212 eV per atom

```
9
Lattice="3.579 0.000 0.000 0.000 6.476 -3.739 0.000 0.000 7.478" Properties=species:S:1:pos:R:3 pbc="T T T"
Y 0.000 0.000 0.000
Th 3.579 4.318 0.000
Cu 1.790 0.000 2.482
Th 0.000 2.159 3.739
Cu 1.790 2.149 1.241
Cu 1.790 0.000 4.997
Cu 1.790 4.327 4.980
Cu 1.790 4.327 2.498
Cu 1.790 2.149 -1.241
```


> The highest calculated volume belongs to which entry?

Dy3HoTm8